(1)
{"formula": "SrLa2Ge2", "functional": "PBE", "state": "relaxed", "cell": [[8.883, 0.000, 0.000], [0.000, 8.883, 0.000], [0.000, 0.000, 3.638]], "species": ["Sr", "Sr", "La", "La", "La", "La", "Ge", "Ge", "Ge", "Ge"], "fractional_positions": [[0.000, 0.000, 0.000], [0.500, 0.500, 0.000], [0.125, 0.375, 0.000], [0.375, 0.875, 0.000], [0.625, 0.125, 0.000], [0.875, 0.625, 0.000], [0.174, 0.674, 0.500], [0.326, 0.174, 0.500], [0.674, 0.826, 0.500], [0.826, 0.326, 0.500]], "dft_energy_ev_per_atom": -4.70, "vol_a3_per_cell": 287.1, "e_form_mev_per_atom": -542.5, "de_polymorph_mev_per_atom": 108, "m_tot_mub_per_fu": 0.00}

=====

(2)
{"formula": "SrLa2Ge2", "functional": "PBE", "state": "relaxed", "cell": [[4.797, 0.000, 0.000], [0.000, 4.797, 0.000], [0.000, 0.000, 13.315]], "species": ["Sr", "Sr", "La", "La", "La", "La", "Ge", "Ge", "Ge", "Ge"], "fractional_positions": [[0.000, 0.000, 0.000], [0.500, 0.500, 0.500], [0.000, 0.500, 0.250], [0.000, 0.500, 0.750], [0.500, 0.000, 0.250], [0.500, 0.000, 0.750], [0.000, 0.000, 0.404], [0.000, 0.000, 0.596], [0.500, 0.500, 0.096], [0.500, 0.500, 0.904]], "dft_energy_ev_per_atom": -4.63, "vol_a3_per_cell": 306.4, "e_form_mev_per_atom": -476.6, "de_polymorph_mev_per_atom": 174, "m_tot_mub_per_fu": 0.00}

=====

(3)
{"formula": "SrLa2Ge", "functional": "PBE", "state": "relaxed", "cell": [[9.301, 0.000, 0.000], [0.000, 9.301, 0.000], [0.000, 0.000, 6.802]], "species": ["Sr", "Sr", "Sr", "Sr", "La", "La", "La", "La", "La", "La", "La", "La", "Ge", "Ge", "Ge", "Ge"], "fractional_positions": [[0.000, 0.000, 0.000], [0.000, 0.500, 0.250], [0.500, 0.000, 0.750], [0.500, 0.500, 0.500], [0.184, 0.250, 0.625], [0.250, 0.684, 0.875], [0.250, 0.816, 0.375], [0.316, 0.250, 0.125], [0.684, 0.750, 0.125], [0.750, 0.184, 0.375], [0.750, 0.316, 0.875], [0.816, 0.750, 0.625], [0.000, 0.000, 0.500], [0.000, 0.500, 0.750], [0.500, 0.000, 0.250], [0.500, 0.500, 0.000]], "dft_energy_ev_per_atom": -4.21, "vol_a3_per_cell": 588.5, "e_form_mev_per_atom": -169.9, "m_tot_mub_per_fu": 0.00}

=====

(4)
{"formula": "Sr2LaGe6", "functional": "PBE", "state": "relaxed", "cell": [[7.778, 0.000, 0.000], [-3.889, 6.736, 0.000], [0.000, 0.000, 4.384]], "species": ["Sr", "Sr", "La", "Ge", "Ge", "Ge", "Ge", "Ge", "Ge"], "fractional_positions": [[0.333, 0.667, 0.000], [0.667, 0.333, 0.000], [0.000, 0.000, 0.000], [0.000, 0.330, 0.500], [0.000, 0.670, 0.500], [0.330, 0.000, 0.500], [0.330, 0.330, 0.500], [0.670, 0.000, 0.500], [0.670, 0.670, 0.500]], "dft_energy_ev_per_atom": -4.52, "vol_a3_per_cell": 229.7, "e_form_mev_per_atom": -516.9, "m_tot_mub_per_fu": 0.00}

=====

(5)
{"formula": "SrLa2Ge2", "functional": "PBE", "state": "relaxed", "cell": [[8.776, 0.000, 0.000], [0.000, 8.776, 0.000], [0.000, 0.000, 4.067]], "species": ["Sr", "Sr", "La", "La", "La", "La", "Ge", "Ge", "Ge", "Ge"], "fractional_positions": [[0.000, 0.000, 0.000], [0.500, 0.500, 0.000], [0.133, 0.367, 0.500], [0.367, 0.867, 0.500], [0.633, 0.133, 0.500], [0.867, 0.633, 0.500], [0.167, 0.667, 0.000], [0.333, 0.167, 0.000], [0.667, 0.833, 0.000], [0.833, 0.333, 0.000]], "dft_energy_ev_per_atom": -4.81, "vol_a3_per_cell": 313.3, "e_form_mev_per_atom": -650.9, "de_polymorph_mev_per_atom": 0, "m_tot_mub_per_fu": 0.00}

=====

(6)
{"formula": "SrLa2Ge", "functional": "PBE", "state": "relaxed", "cell": [[3.973, 0.000, 0.000], [0.000, 3.973, 0.000], [0.000, 0.000, 9.243]], "species": ["Sr", "La", "La", "Ge"], "fractional_positions": [[0.000, 0.000, 0.000], [0.500, 0.500, 0.338], [0.500, 0.500, 0.662], [0.000, 0.000, 0.500]], "dft_energy_ev_per_atom": -4.36, "vol_a3_per_cell": 145.9, "e_form_mev_per_atom": -325.1, "m_tot_mub_per_fu": 0.00}

=====

(7)
{"formula": "SrLa2Ge2", "functional": "PBE", "state": "relaxed", "cell": [[5.632, 0.000, 0.000], [0.000, 5.632, 0.000], [0.000, 0.000, 11.420]], "species": ["Sr", "Sr", "La", "La", "La", "La", "Ge", "Ge", "Ge", "Ge"], "fractional_positions": [[0.000, 0.000, 0.000], [0.500, 0.500, 0.500], [0.000, 0.000, 0.330], [0.000, 0.000, 0.670], [0.500, 0.500, 0.170], [0.500, 0.500, 0.830], [0.000, 0.500, 0.250], [0.000, 0.500, 0.750], [0.500, 0.000, 0.250], [0.500, 0.000, 0.750]], "dft_energy_ev_per_atom": -4.54, "vol_a3_per_cell": 362.3, "e_form_mev_per_atom": -390.7, "de_polymorph_mev_per_atom": 260, "m_tot_mub_per_fu": 0.70}

=====

(8)
{"formula": "SrLaTlGe", "functional": "PBE", "state": "relaxed", "cell": [[7.831, 0.000, 0.000], [0.000, 7.831, 0.000], [0.000, 0.000, 7.831]], "species": ["Sr", "Sr", "Sr", "Sr", "La", "La", "La", "La", "Tl", "Tl", "Tl", "Tl", "Ge", "Ge", "Ge", "Ge"], "fractional_positions": [[0.000, 0.000, 0.000], [0.000, 0.500, 0.500], [0.500, 0.000, 0.500], [0.500, 0.500, 0.000], [0.000, 0.000, 0.500], [0.000, 0.500, 0.000], [0.500, 0.000, 0.000], [0.500, 0.500, 0.500], [0.250, 0.250, 0.250], [0.250, 0.750, 0.750], [0.750, 0.250, 0.750], [0.750, 0.750, 0.250], [0.250, 0.250, 0.750], [0.250, 0.750, 0.250], [0.750, 0.250, 0.250], [0.750, 0.750, 0.750]], "dft_energy_ev_per_atom": -3.84, "vol_a3_per_cell": 480.3, "e_form_mev_per_atom": -442.0, "m_tot_mub_per_fu": 0.00}

=====

(9)
{"formula": "SrLa2ZnGe", "functional": "PBE", "state": "relaxed", "cell": [[5.939, 0.000, 0.000], [0.000, 5.939, 0.000], [0.000, 0.000, 5.428]], "species": ["Sr", "La", "La", "Zn", "Ge"], "fractional_positions": [[0.000, 0.000, 0.000], [0.000, 0.500, 0.000], [0.500, 0.000, 0.000], [0.500, 0.500, 0.500], [0.000, 0.000, 0.500]], "dft_energy_ev_per_atom": -2.54, "vol_a3_per_cell": 191.4, "e_form_mev_per_atom": 941.8, "m_tot_mub_per_fu": 0.00}

=====

(10)
{"formula": "La2TaGe", "functional": "PBE", "state": "relaxed", "cell": [[8.509, 0.000, 0.000], [0.000, 8.509, 0.000], [0.000, 0.000, 5.839]], "species": ["La", "La", "La", "La", "La", "La", "La", "La", "Ta", "Ta", "Ta", "Ta", "Ge", "Ge", "Ge", "Ge"], "fractional_positions": [[0.232, 0.250, 0.125], [0.250, 0.732, 0.375], [0.250, 0.768, 0.875], [0.268, 0.250, 0.625], [0.732, 0.750, 0.625], [0.750, 0.232, 0.875], [0.750, 0.268, 0.375], [0.768, 0.750, 0.125], [0.000, 0.000, 0.500], [0.000, 0.500, 0.750], [0.500, 0.000, 0.250], [0.500, 0.500, 0.000], [0.000, 0.000, 0.000], [0.000, 0.500, 0.250], [0.500, 0.000, 0.750], [0.500, 0.500, 0.500]], "dft_energy_ev_per_atom": -6.19, "vol_a3_per_cell": 422.8, "e_form_mev_per_atom": 388.5, "m_tot_mub_per_fu": 0.18}

=====

(11)
{"formula": "LaTaGe3", "functional": "PBE", "state": "relaxed", "cell": [[4.983, 0.000, 0.000], [0.000, 4.983, 0.000], [0.000, 0.000, 4.983]], "species": ["La", "Ta", "Ge", "Ge", "Ge"], "fractional_positions": [[0.000, 0.000, 0.000], [0.500, 0.500, 0.500], [0.000, 0.500, 0.500], [0.500, 0.000, 0.500], [0.500, 0.500, 0.000]], "dft_energy_ev_per_atom": -6.32, "vol_a3_per_cell": 123.7, "e_form_mev_per_atom": -189.0, "m_tot_mub_per_fu": 0.00}

=====

(12)
{"formula": "LaTaGe3", "functional": "PBE", "state": "relaxed", "cell": [[5.332, 0.000, 0.000], [0.000, 5.332, 0.000], [0.000, 0.000, 5.332]], "species": ["La", "Ta", "Ge", "Ge", "Ge"], "fractional_positions": [[0.000, 0.000, 0.000], [0.500, 0.500, 0.500], [0.000, 0.000, 0.500], [0.000, 0.500, 0.000], [0.500, 0.000, 0.000]], "dft_energy_ev_per_atom": -4.38, "vol_a3_per_cell": 151.6, "e_form_mev_per_atom": 1742.3, "m_tot_mub_per_fu": 0.00}